Record 1
The following is a PBE calculation of crystalline LiMg4Al at its relaxed geometry, from the Alexandria database.

Lattice parameters (Å, degrees): 7.8472 12.5113 5.5552 90.00 110.79 90.00
With the nearest neighbours (Å) after each atom.
Space group C2/c (No. 15)
Unique sites:
Li1 0.0000 0.0007 0.2500 [4 per cell]  2 Li 2.78, 8 Mg 2.84-2.92
Mg1 0.1002 0.1901 0.0526 [8 per cell]  2 Li 2.84-2.86, 2 Al 3.00-3.11, 5 Mg 3.02-3.17
Mg2 0.2005 0.4008 0.3613 [8 per cell]  2 Li 2.85-2.92, 3 Mg 2.94-3.15, 2 Al 2.97-3.09
Al1 0.0000 0.3934 0.7500 [4 per cell]  10 Mg 2.97-3.20

Crystal system: monoclinic
Excess energy over the best structure of this formula in the dataset in eV per formula unit: 0.508
Energy of formation from the pure elements in meV/atom: 49


Record 2
The following is a PBE calculation of crystalline Ce2CBr at its relaxed geometry, from the Alexandria database.

Lattice parameters (Å, degrees): 3.6835 3.6835 22.7803 90.00 90.00 120.00
With the nearest neighbours (Å) after each atom.
Space group R3m (No. 160, hexagonal axes)
Unique sites:
Ce1 0.0000 0.0000 0.0000 [3 per cell]  3 C 2.55
Ce2 0.0000 0.0000 0.2108 [3 per cell]  3 C 2.53
C1 0.0000 0.0000 0.6046 [3 per cell]  6 Ce 2.53-2.55
Br1 0.0000 0.0000 0.4372 [3 per cell]  6 Ce 3.18-3.23

Crystal system: trigonal
Uncorrected formation energy in eV per formula unit: -3.29


Record 3
The following is a PBE calculation of crystalline SrAlAs4 at its relaxed geometry, from the Alexandria database.

Lattice parameters (Å, degrees): 8.1852 8.1852 8.1852 90.00 90.00 90.00
With the nearest neighbours (Å) after each atom.
Space group F-43m (No. 216)
Unique sites:
Sr1 0.0000 0.0000 0.0000 [4 per cell]  12 As 3.41, 4 Al 3.54
Al1 0.2500 0.2500 0.7500 [4 per cell]  12 As 3.38, 4 Sr 3.54
As1 0.1197 0.1197 0.3803 [16 per cell]  6 As 2.77-3.02

Crystal system: cubic
Energy of formation from the pure elements in meV/atom: -72


Record 4
The following is a PBE calculation of crystalline Sc3IrC4 at its relaxed geometry, from the Alexandria database.

Lattice parameters (Å, degrees): 3.4754 4.4359 12.2536 90.00 90.00 90.00
With the nearest neighbours (Å) after each atom.
Space group Immm (No. 71)
Unique sites:
Sc1 0.0000 0.0000 0.0000 [2 per cell]  8 C 2.45
Sc2 0.0000 0.5000 0.1904 [4 per cell]  6 C 2.35-2.42
Ir1 0.0000 0.0000 0.5000 [2 per cell]  4 C 2.16
C1 0.0000 0.3365 0.3726 [8 per cell]  1 C 1.45

Crystal system: orthorhombic
Energy of formation from the pure elements in meV/atom: -498


Record 5
The following is a PBE calculation of crystalline Li5Hg4Au2 at its relaxed geometry, from the Alexandria database.

Lattice parameters (Å, degrees): 19.9787 3.1504 7.0371 90.00 96.23 90.00
With the nearest neighbours (Å) after each atom.
Space group C2/m (No. 12)
Unique sites:
Li1 0.0000 0.0000 0.0000 [2 per cell]  4 Hg 2.77
Li2 0.0977 0.5000 0.7196 [4 per cell]  1 Au 2.63, 3 Hg 2.71-2.88
Li3 0.1597 0.5000 0.1432 [4 per cell]  3 Au 2.68-2.74, 3 Hg 2.82-2.86
Hg1 0.0388 0.5000 0.3170 [4 per cell]  5 Li 2.71-2.95
Hg2 0.1768 0.0000 0.4841 [4 per cell]  4 Li 2.86-2.88, 3 Au 3.01-3.10, 2 Hg 3.15
Au1 0.2275 0.5000 0.8348 [4 per cell]  4 Li 2.63-2.74, 2 Au 2.87

Crystal system: monoclinic
Energy of formation from the pure elements in meV/atom: -241


Record 6
The following is a PBE calculation of crystalline V3SiAs at its relaxed geometry, from the Alexandria database.

Lattice parameters (Å, degrees): 4.5168 4.5168 4.5168 90.00 90.00 90.00
With the nearest neighbours (Å) after each atom.
Space group Pm-3m (No. 221)
Unique sites:
V1 0.0000 0.0000 0.5000 [3 per cell]  2 Si 2.26
Si1 0.0000 0.0000 0.0000 [1 per cell]  6 V 2.26
As1 0.5000 0.5000 0.5000 [1 per cell]  12 V 3.19

Crystal system: cubic
Excess energy over the best structure of this formula in the dataset in eV per formula unit: 0.000
Uncorrected formation energy in eV per formula unit: 3.41


Record 7
The following is a PBE calculation of crystalline PuCuN at its relaxed geometry, from the Alexandria database.

Lattice parameters (Å, degrees): 3.9203 3.9203 6.5587 90.00 90.00 90.00
With the nearest neighbours (Å) after each atom.
Space group I4mm (No. 107)
Unique sites:
Pu1 0.0000 0.0000 0.0000 [2 per cell]  1 N 2.06
Cu1 0.0000 0.0000 0.4028 [2 per cell]  1 N 1.85
N1 0.0000 0.0000 0.6853 [2 per cell]  1 Cu 1.85, 1 Pu 2.06

Crystal system: tetragonal
Uncorrected formation energy in eV per formula unit: 0.62


Record 8
The following is a PBE calculation of crystalline CaEr2In at its relaxed geometry, from the Alexandria database.

Lattice parameters (Å, degrees): 7.7160 7.7160 7.7160 90.00 90.00 90.00
With the nearest neighbours (Å) after each atom.
Space group Fm-3m (No. 225)
Unique sites:
Ca1 0.0000 0.0000 0.0000 [4 per cell]  8 Er 3.34
Er1 0.2500 0.2500 0.2500 [8 per cell]  4 In 3.34, 4 Ca 3.34
In1 0.0000 0.0000 0.5000 [4 per cell]  8 Er 3.34

Crystal system: cubic
Excess energy over the best structure of this formula in the dataset in eV per formula unit: 0.329
Energy of formation from the pure elements in meV/atom: -110


Record 9
The following is a PBE calculation of crystalline Pm2Hg8Pb at its relaxed geometry, from the Alexandria database.

Lattice parameters (Å, degrees): 17.9068 4.7843 7.2703 90.00 110.53 90.00
With the nearest neighbours (Å) after each atom.
Space group C2/m (No. 12)
Unique sites:
Pm1 0.2160 0.0000 0.1864 [4 per cell]  10 Hg 3.16-3.48
Hg1 0.0329 0.0000 0.2151 [4 per cell]  3 Hg 2.93-3.18
Hg2 0.1119 0.5000 0.9322 [4 per cell]  1 Pb 3.08, 5 Hg 3.12-3.41, 2 Pm 3.19
Hg3 0.1541 0.0000 0.6956 [4 per cell]  5 Hg 3.19-3.41, 3 Pm 3.24-3.34, 2 Pb 3.55
Hg4 0.1542 0.5000 0.3869 [4 per cell]  5 Hg 3.12-3.28, 1 Pb 3.14, 3 Pm 3.16-3.19
Pb1 0.0000 0.5000 0.5000 [2 per cell]  8 Hg 3.08-3.35

Crystal system: monoclinic
Energy of formation from the pure elements in meV/atom: -234


Record 10
The following is a PBE calculation of crystalline KSmSiSe4 at its relaxed geometry, from the Alexandria database.

Lattice parameters (Å, degrees): 6.7715 6.9647 9.1489 90.00 107.46 90.00
With the nearest neighbours (Å) after each atom.
Space group P2_1/m (No. 11)
Unique sites:
K1 0.2417 0.2500 0.4373 [2 per cell]  8 Se 3.39-3.68
Sm1 0.2705 0.2500 0.9480 [2 per cell]  6 Se 2.96-3.03
Si1 0.2795 0.7500 0.1762 [2 per cell]  4 Se 2.26-2.30
Se1 0.0822 0.7500 0.3368 [2 per cell]  1 Si 2.26
Se2 0.0841 0.7500 0.9252 [2 per cell]  1 Si 2.28
Se3 0.4952 0.5048 0.7827 [4 per cell]  1 Si 2.30

Crystal system: monoclinic
Uncorrected formation energy in eV per formula unit: -8.64


Record 11
The following is a PBE calculation of crystalline PmPrInGa at its relaxed geometry, from the Alexandria database.

Lattice parameters (Å, degrees): 3.7673 3.7673 7.6788 90.00 90.00 90.00
With the nearest neighbours (Å) after each atom.
Space group P4mm (No. 99)
Unique sites:
Pm1 0.0000 0.0000 0.0000 [1 per cell]  4 Ga 3.20, 4 In 3.32
Pr1 0.0000 0.0000 0.5273 [1 per cell]  4 Ga 3.25, 4 In 3.37, 1 Pm 3.63
In1 0.5000 0.5000 0.2584 [1 per cell]  4 Pm 3.32, 4 Pr 3.37
Ga1 0.5000 0.5000 0.7700 [1 per cell]  4 Pm 3.20, 4 Pr 3.25

Crystal system: tetragonal
Excess energy over the best structure of this formula in the dataset in eV per formula unit: 0.000
Energy of formation from the pure elements in meV/atom: -522


Record 12
The following is a PBE calculation of crystalline KBe2Rh at its relaxed geometry, from the Alexandria database.

Lattice parameters (Å, degrees): 6.3445 6.3445 6.3445 90.00 90.00 90.00
With the nearest neighbours (Å) after each atom.
Space group F-43m (No. 216)
Unique sites:
K1 0.0000 0.0000 0.0000 [4 per cell]  4 Be 2.75, 4 Rh 2.75
Be1 0.0000 0.0000 0.5000 [4 per cell]  4 Be 2.75, 4 Rh 2.75
Be2 0.2500 0.2500 0.7500 [4 per cell]  4 K 2.75, 4 Be 2.75
Rh1 0.2500 0.2500 0.2500 [4 per cell]  4 K 2.75, 4 Be 2.75

Crystal system: cubic
Excess energy over the best structure of this formula in the dataset in eV per formula unit: 4.565
Energy of formation from the pure elements in meV/atom: 1068


Final energy / eV per cell: -47.0 -78.2 -97.8 -137.5 -40.0 -34.0 -52.3 -57.2 -36.4 -67.6 -17.4 -46.5